Entry from Alexandria via LeMat-Bulk: an optimized crystal structure of Ba2MgMnF (GGA+U).

Unit cell a=5.7561 b=4.8552 c=5.7561 alpha=90.00 beta=90.00 gamma=90.00
Site moments in Bohr magnetons follow the coordinates.
Sites, in units of the cell vectors:
Ba: 0.0000 0.0000 0.5000  -0.01
Mg: 0.5000 0.5000 0.5000  -0.01
Ba: 0.5000 0.0000 0.0000  -0.03
F: 0.0000 0.0000 0.0000  0.04
Mn: 0.0000 0.5000 0.0000  4.69

Calculated values
DOS(E_F) = 3.8 states/eV/f.u.
Total energy = -18.70 eV for the cell shown